Entry 1:
A geometry-optimized Hg5Se4 structure. Source: the Alexandria database, functional PBE.

Structure (POSCAR):
```
Hg5Se4
1.0
-7.1276 -3.9086 -1.6910
6.1744 -4.0726 3.7723
-2.8146 2.1400 6.9172
Hg Se
10 8
direct
0.0000 0.7484 0.2500
0.2516 0.2516 0.2500
0.7484 0.0000 0.2500
0.0000 0.2516 0.7500
0.7484 0.7484 0.7500
0.2516 0.0000 0.7500
0.6667 0.3333 0.0000
0.3333 0.6667 0.5000
0.3333 0.6667 0.0000
0.6667 0.3333 0.5000
0.0000 0.0000 0.0000
0.0000 0.0000 0.5000
0.0000 0.4336 0.2500
0.5664 0.5664 0.2500
0.4336 0.0000 0.2500
0.0000 0.5664 0.7500
0.4336 0.4336 0.7500
0.5664 0.0000 0.7500
```

Values from the calculation:
Total moment   0.0 Bohr magnetons per cell
Energy relative to the elements, uncorrected   0.050 eV/atom
Calculated volume   231.90 Å³/f.u.
Final energy   -1.67 eV/atom

Entry 2:
A geometry-optimized BaGa2TeO6 structure. Source: the Alexandria database, functional PBE.

Structure (POSCAR):
```
BaGa2TeO6
1.0
6.1091 -0.1296 -0.1345
1.8209 7.2292 0.2359
1.8209 -0.0322 7.2330
Ba Ga Te O
2 4 2 12
direct
0.2500 0.8405 0.1595
0.7500 0.1595 0.8405
0.3161 0.8701 0.6883
0.1839 0.3117 0.1299
0.6839 0.1299 0.3117
0.8161 0.6883 0.8701
0.2500 0.3684 0.6316
0.7500 0.6316 0.3684
0.1831 0.1266 0.6409
0.3169 0.3591 0.8734
0.8169 0.8734 0.3591
0.6831 0.6409 0.1266
0.4014 0.7476 0.4726
0.0986 0.5274 0.2524
0.5986 0.2524 0.5274
0.9014 0.4726 0.7476
0.0490 0.8194 0.8500
0.4510 0.1500 0.1806
0.9510 0.1806 0.1500
0.5490 0.8500 0.8194
```

Values from the calculation:
Total moment   0.0 Bohr magnetons per cell
Energy relative to the elements, uncorrected   -1.846 eV/atom
Calculated volume   161.46 Å³/f.u.
Final energy   -5.93 eV/atom

Entry 3:
A geometry-optimized KTcPd structure. Source: the Alexandria database, functional PBE.

Structure (POSCAR):
```
KTcPd
1.0
15.9555 0.0000 0.0023
4.7025 1.5774 -2.8228
-4.7025 1.5774 2.8228
K Tc Pd
2 2 2
direct
0.0708 0.8970 0.1030
0.3331 0.3200 0.6800
0.7034 0.9974 0.0026
0.8370 0.4438 0.5562
0.6960 0.2989 0.7011
0.4836 0.8786 0.1214
```

Values from the calculation:
Total moment   0.0 Bohr magnetons per cell
Calculated volume   71.06 Å³/f.u.
Final energy   -5.08 eV/atom

Entry 4:
A geometry-optimized SrPmGd structure. Source: the Alexandria database, functional PBE.

Structure (POSCAR):
```
SrPmGd
1.0
-0.7474 -0.5856 -3.6529
-0.4387 -3.6864 0.6807
-7.3188 3.3408 2.9118
Sr Gd Pm
1 1 1
direct
0.9996 0.9996 0.9992
0.6804 0.6804 0.3607
0.3200 0.3200 0.6401
```

Values from the calculation:
Total moment   7.4 Bohr magnetons per cell
Calculated volume   115.80 Å³/f.u.
Final energy   -6.74 eV/atom

Entry 5:
A geometry-optimized HSF structure. Source: the Alexandria database, functional PBE.

Structure (POSCAR):
```
HSF
1.0
3.2455 -0.0028 -0.4338
0.0753 3.9456 0.3800
-0.7953 1.3574 7.8114
H S F
2 2 2
direct
0.1358 0.1049 0.9151
0.5356 0.9486 0.1930
0.2670 0.7726 0.5432
0.7012 0.0915 0.4251
0.4414 0.8446 0.0932
0.9284 0.2546 0.8184
```

Values from the calculation:
Total moment   0.0 Bohr magnetons per cell
Calculated volume   48.48 Å³/f.u.
Final energy   -3.99 eV/atom

Entry 6:
A geometry-optimized Er2Ga9Pd structure. Source: the Alexandria database, functional PBE.

Structure (POSCAR):
```
Er2Ga9Pd
1.0
-3.9640 0.3596 1.4064
0.1534 -3.9631 1.4459
4.2228 4.1214 10.8485
Er Ga Pd
2 9 1
direct
0.0000 0.0000 0.3215
0.0000 0.0000 0.6785
0.5000 0.5000 0.0000
0.5000 0.5000 0.3373
0.5000 0.5000 0.6627
0.5000 0.0000 0.1468
0.5000 0.0000 0.5000
0.5000 0.0000 0.8532
0.0000 0.5000 0.1468
0.0000 0.5000 0.5000
0.0000 0.5000 0.8532
0.0000 0.0000 0.0000
```

Values from the calculation:
Total moment   0.0 Bohr magnetons per cell
Calculated volume   220.07 Å³/f.u.
Final energy   -3.88 eV/atom